VASP calculation (PBE with a Hubbard U) on Na4WO5 after structural relaxation.

Cell and atoms, written as CIF:
```
data_Na4WO5
_cell_length_a 4.330
_cell_length_b 7.363
_cell_length_c 8.545
_cell_angle_alpha 90.03
_cell_angle_beta 90.06
_cell_angle_gamma 91.48
_symmetry_space_group_name_H-M 'P 1'
_symmetry_Int_Tables_number 1
loop_
_symmetry_equiv_pos_as_xyz
'x,y,z'
loop_
_atom_site_label
_atom_site_type_symbol
_atom_site_fract_x
_atom_site_fract_y
_atom_site_fract_z
Na1 Na 0.000 0.000 0.000
Na2 Na 0.000 0.000 0.500
Na3 Na 0.230 0.388 0.498
Na4 Na 0.231 0.389 0.001
Na5 Na 0.363 0.769 0.750
Na6 Na 0.637 0.231 0.250
Na7 Na 0.769 0.611 0.999
Na8 Na 0.770 0.612 0.502
W1 W 0.320 0.746 0.250
W2 W 0.680 0.254 0.750
O1 O 0.237 0.999 0.250
O2 O 0.246 0.485 0.250
O3 O 0.251 0.250 0.750
O4 O 0.267 0.732 0.023
O5 O 0.267 0.732 0.477
O6 O 0.733 0.268 0.523
O7 O 0.733 0.268 0.977
O8 O 0.749 0.750 0.250
O9 O 0.754 0.515 0.750
O10 O 0.763 0.001 0.750
```

Values from the calculation:
V in A^3/atom: 13.62
Raw total energy in eV for the cell shown: -110.62
Fermi-level density of states in states/eV/cell: 0.00
Symmetry: P-1 (2)